Material: Sc3PdPt2
Method: DFT, PBE
State: relaxed

Cell and atoms, written as POSCAR:
```
Sc3PdPt2
1.0
4.6638 0.0000 0.0000
-2.3319 4.0390 0.0000
0.0000 0.0000 5.7284
Sc Pd Pt
3 1 2
direct
0.0000 0.0000 0.0000
0.3333 0.6667 0.6697
0.6667 0.3333 0.3303
0.0000 0.0000 0.5000
0.3333 0.6667 0.1762
0.6667 0.3333 0.8238
```

Computed properties:
- D(E_F) (states/eV per atom) = 0.455
- calculated formation energy (meV/atom) = -1147
- volume (Å³/atom) = 17.98
- SG = P-3m1